Here is a relaxed structure of TbCeMg17 from the Alexandria database. Energies are from PBE.

extended XYZ file:
```
19
Lattice="5.1196 2.9558 5.0695 -5.1196 2.9558 5.0695 0.0000 -5.9116 5.0695" Properties=species:S:1:pos:R:3 pbc="T T T"
Tb 0.0000 0.0000 0.0000
Ce 0.0000 0.0000 5.1628
Mg 0.0000 -2.9211 2.8258
Mg -2.5298 1.4606 2.8258
Mg -2.5320 -1.4618 7.6478
Mg 0.0000 -3.0612 7.4551
Mg -2.6511 1.5306 7.4551
Mg -1.5648 -2.6847 10.2001
Mg -3.1074 -0.0128 10.2001
Mg 2.5298 1.4606 2.8258
Mg 0.0000 0.0000 8.7092
Mg 2.5320 -1.4618 7.6479
Mg 0.0000 2.9237 7.6479
Mg 1.5648 -2.6847 10.2001
Mg -1.5426 2.6975 10.2001
Mg 0.0000 0.0000 11.7247
Mg 2.6511 1.5306 7.4551
Mg 3.1074 -0.0128 10.2001
Mg 1.5426 2.6975 10.2001
```

Values from the calculation:
Formation enthalpy at 0 K = -0.0150 eV per atom
Crystal system = trigonal
Magnetization = 1.186 μB per formula unit


Here is a relaxed structure of Pu3Mg3SnN8 from the Alexandria database. Energies are from PBE.

extended XYZ file:
```
15
Lattice="3.3345 1.9252 5.2021 -3.3345 1.9252 5.2021 0.0000 -3.8503 5.2021" Properties=species:S:1:pos:R:3 pbc="T T T"
Pu -1.6672 -0.9626 5.2021
Pu -1.6672 0.9626 10.4042
Pu 0.0000 1.9252 5.2021
Mg -3.3345 0.0000 7.8032
Mg -1.6672 0.9626 2.6011
Mg 1.6672 0.9626 2.6011
Sn 0.0000 0.0000 0.0000
N 0.0000 -1.9705 6.4006
N -1.7065 0.9853 6.4006
N -1.7065 -0.9853 9.2057
N 0.0000 0.0000 3.9305
N 0.0000 0.0000 11.6759
N 1.7065 0.9853 6.4006
N 1.7065 -0.9853 9.2057
N 0.0000 1.9705 9.2057
```

Values from the calculation:
Crystal system = trigonal
Raw formation energy = -0.646 eV per atom
Magnetization = 10.000 μB per formula unit